(1)
First-principles (PBE) data for a geometry-optimized Rb2ErU2S6 structure, as listed in the Alexandria database.

```
data_Rb2ErU2S6
_chemical_formula_sum 'Rb4 Er2 U4 S12'
_cell_length_a 6.9619
_cell_length_b 12.0539
_cell_length_c 8.2078
_cell_angle_alpha 90.00
_cell_angle_beta 106.14
_cell_angle_gamma 90.00
_space_group_name_H-M_alt 'C 1 2/m 1'
_space_group_IT_number 12
loop_
_space_group_symop_operation_xyz
'x,y,z'
'-x,-y,-z'
'-x,y,-z'
'x,-y,z'
'x+1/2,y+1/2,z'
'-x+1/2,-y+1/2,-z'
'-x+1/2,y+1/2,-z'
'x+1/2,-y+1/2,z'
loop_
_atom_site_label
_atom_site_type_symbol
_atom_site_fract_x
_atom_site_fract_y
_atom_site_fract_z
Rb1 Rb 0.0000 0.1658 0.0000
Er1 Er 0.0000 0.0000 0.5000
U1 U 0.0000 0.3343 0.5000
S1 S 0.2268 0.1674 0.6856
S2 S 0.2302 0.5000 0.6863
```

Computed properties:
**VASP energy**: -0.238 Ha/atom
**ΔE_f (raw)**: -1.58 eV/atom

---

(2)
First-principles (PBE) data for a geometry-optimized Rb3ErU2S6 structure, as listed in the Alexandria database.

```
data_Rb3ErU2S6
_chemical_formula_sum 'Rb6 Er2 U4 S12'
_cell_length_a 7.0454
_cell_length_b 12.2032
_cell_length_c 8.0758
_cell_angle_alpha 90.00
_cell_angle_beta 106.90
_cell_angle_gamma 90.00
_space_group_name_H-M_alt 'C 1 2/m 1'
_space_group_IT_number 12
loop_
_space_group_symop_operation_xyz
'x,y,z'
'-x,-y,-z'
'-x,y,-z'
'x,-y,z'
'x+1/2,y+1/2,z'
'-x+1/2,-y+1/2,-z'
'-x+1/2,y+1/2,-z'
'x+1/2,-y+1/2,z'
loop_
_atom_site_label
_atom_site_type_symbol
_atom_site_fract_x
_atom_site_fract_y
_atom_site_fract_z
Rb1 Rb 0.0000 0.0000 0.0000
Rb2 Rb 0.0000 0.3337 0.0000
Er1 Er 0.0000 0.5000 0.5000
U1 U 0.0000 0.1667 0.5000
S1 S 0.2298 0.3345 0.6927
S2 S 0.2332 0.0000 0.6927
```

Computed properties:
**VASP energy**: -0.223 Ha/atom
**ΔE_f (raw)**: -1.50 eV/atom

---

(3)
First-principles (PBE) data for a geometry-optimized Rb2Er2US6 structure, as listed in the Alexandria database.

```
data_Rb2Er2US6
_chemical_formula_sum 'Rb4 Er4 U2 S12'
_cell_length_a 6.9342
_cell_length_b 12.0177
_cell_length_c 8.2063
_cell_angle_alpha 90.00
_cell_angle_beta 106.62
_cell_angle_gamma 90.00
_space_group_name_H-M_alt 'C 1 2/m 1'
_space_group_IT_number 12
loop_
_space_group_symop_operation_xyz
'x,y,z'
'-x,-y,-z'
'-x,y,-z'
'x,-y,z'
'x+1/2,y+1/2,z'
'-x+1/2,-y+1/2,-z'
'-x+1/2,y+1/2,-z'
'x+1/2,-y+1/2,z'
loop_
_atom_site_label
_atom_site_type_symbol
_atom_site_fract_x
_atom_site_fract_y
_atom_site_fract_z
Rb1 Rb 0.0000 0.1683 0.0000
Er1 Er 0.0000 0.3334 0.5000
U1 U 0.0000 0.0000 0.5000
S1 S 0.2273 0.1662 0.6852
S2 S 0.2331 0.5000 0.6848
```

Computed properties:
**VASP energy**: -0.221 Ha/atom
**ΔE_f (raw)**: -1.74 eV/atom

---

(4)
First-principles (PBE) data for a geometry-optimized Rb2YErS4 structure, as listed in the Alexandria database.

```
data_Rb2YErS4
_chemical_formula_sum 'Rb2 Y1 Er1 S4'
_cell_length_a 7.0415
_cell_length_b 4.0651
_cell_length_c 8.0341
_cell_angle_alpha 90.00
_cell_angle_beta 106.97
_cell_angle_gamma 90.00
_space_group_name_H-M_alt 'P 1 2/m 1'
_space_group_IT_number 10
loop_
_space_group_symop_operation_xyz
'x,y,z'
'-x,-y,-z'
'-x,y,-z'
'x,-y,z'
loop_
_atom_site_label
_atom_site_type_symbol
_atom_site_fract_x
_atom_site_fract_y
_atom_site_fract_z
Rb1 Rb 0.0000 0.0000 0.0000
Rb2 Rb 0.5000 0.5000 0.0000
Y1 Y 0.0000 0.5000 0.5000
Er1 Er 0.5000 0.0000 0.5000
S1 S 0.2328 0.0000 0.6917
S2 S 0.2720 0.5000 0.3092
```

Computed properties:
**VASP energy**: -0.204 Ha/atom
**ΔE_f (raw)**: -1.86 eV/atom

---

(5)
First-principles (PBE) data for a geometry-optimized RbErZnS3 structure, as listed in the Alexandria database.

```
data_RbErZnS3
_chemical_formula_sum 'Rb2 Er2 Zn2 S6'
_cell_length_a 9.0114
_cell_length_b 3.9893
_cell_length_c 9.6676
_cell_angle_alpha 90.00
_cell_angle_beta 109.74
_cell_angle_gamma 90.00
_space_group_name_H-M_alt 'P 1 21/m 1'
_space_group_IT_number 11
loop_
_space_group_symop_operation_xyz
'x,y,z'
'-x,-y,-z'
'-x,y+1/2,-z'
'x,-y+1/2,z'
loop_
_atom_site_label
_atom_site_type_symbol
_atom_site_fract_x
_atom_site_fract_y
_atom_site_fract_z
Rb1 Rb 0.2120 0.2500 0.2367
Er1 Er 0.3326 0.7500 0.8607
Zn1 Zn 0.0838 0.2500 0.6096
S1 S 0.1217 0.2500 0.8569
S2 S 0.1938 0.7500 0.5419
S3 S 0.4688 0.7500 0.1525
```

Computed properties:
**VASP energy**: -0.172 Ha/atom
**ΔE_f (raw)**: -1.49 eV/atom

---

(6)
First-principles (PBE) data for a geometry-optimized Rb2Er2ZrS6 structure, as listed in the Alexandria database.

```
data_Rb2Er2ZrS6
_chemical_formula_sum 'Rb4 Er4 Zr2 S12'
_cell_length_a 6.7934
_cell_length_b 11.6985
_cell_length_c 8.2012
_cell_angle_alpha 90.00
_cell_angle_beta 106.32
_cell_angle_gamma 90.00
_space_group_name_H-M_alt 'C 1 2/m 1'
_space_group_IT_number 12
loop_
_space_group_symop_operation_xyz
'x,y,z'
'-x,-y,-z'
'-x,y,-z'
'x,-y,z'
'x+1/2,y+1/2,z'
'-x+1/2,-y+1/2,-z'
'-x+1/2,y+1/2,-z'
'x+1/2,-y+1/2,z'
loop_
_atom_site_label
_atom_site_type_symbol
_atom_site_fract_x
_atom_site_fract_y
_atom_site_fract_z
Rb1 Rb 0.0000 0.1691 0.0000
Er1 Er 0.0000 0.3334 0.5000
Zr1 Zr 0.0000 0.0000 0.5000
S1 S 0.2230 0.1601 0.6852
S2 S 0.2438 0.5000 0.6844
```

Computed properties:
**VASP energy**: -0.214 Ha/atom
**ΔE_f (raw)**: -1.80 eV/atom

---

(7)
First-principles (PBE) data for a geometry-optimized Rb3Er3ZrS8 structure, as listed in the Alexandria database.

```
data_Rb3Er3ZrS8
_chemical_formula_sum 'Rb9 Er9 Zr3 S24'
_cell_length_a 7.9033
_cell_length_b 7.9033
_cell_length_c 23.4824
_cell_angle_alpha 90.00
_cell_angle_beta 90.00
_cell_angle_gamma 120.00
_space_group_name_H-M_alt 'R -3 m'
_space_group_IT_number 166
_space_group_name_Hall '-R 3 2"'
loop_
_atom_site_label
_atom_site_type_symbol
_atom_site_fract_x
_atom_site_fract_y
_atom_site_fract_z
Rb1 Rb 0.0000 0.5000 0.0000
Er1 Er 0.0000 0.5000 0.5000
Zr1 Zr 0.0000 0.0000 0.5000
S1 S 0.0000 0.0000 0.2298
S2 S 0.0135 0.5067 0.2280
```

Computed properties:
**VASP energy**: -0.209 Ha/atom
**ΔE_f (raw)**: -1.81 eV/atom

---

(8)
First-principles (PBE) data for a geometry-optimized Rb2ErZrS4 structure, as listed in the Alexandria database.

```
data_Rb2ErZrS4
_chemical_formula_sum 'Rb2 Er1 Zr1 S4'
_cell_length_a 6.8141
_cell_length_b 3.8999
_cell_length_c 8.0228
_cell_angle_alpha 90.00
_cell_angle_beta 106.18
_cell_angle_gamma 90.00
_space_group_name_H-M_alt 'P 1 2/m 1'
_space_group_IT_number 10
loop_
_space_group_symop_operation_xyz
'x,y,z'
'-x,-y,-z'
'-x,y,-z'
'x,-y,z'
loop_
_atom_site_label
_atom_site_type_symbol
_atom_site_fract_x
_atom_site_fract_y
_atom_site_fract_z
Rb1 Rb 0.0000 0.0000 0.0000
Rb2 Rb 0.5000 0.5000 0.0000
Er1 Er 0.0000 0.5000 0.5000
Zr1 Zr 0.5000 0.0000 0.5000
S1 S 0.2398 0.0000 0.6921
S2 S 0.2784 0.5000 0.3101
```

Computed properties:
**VASP energy**: -0.205 Ha/atom
**ΔE_f (raw)**: -1.63 eV/atom

---

(9)
First-principles (PBE) data for a geometry-optimized RbErSb2 structure, as listed in the Alexandria database.

```
data_RbErSb2
_chemical_formula_sum 'Rb1 Er1 Sb2'
_cell_length_a 4.1028
_cell_length_b 4.1028
_cell_length_c 7.9528
_cell_angle_alpha 90.00
_cell_angle_beta 90.00
_cell_angle_gamma 90.00
_space_group_name_H-M_alt 'P 4/m m m'
_space_group_IT_number 123
_space_group_name_Hall '-P 4 2'
loop_
_atom_site_label
_atom_site_type_symbol
_atom_site_fract_x
_atom_site_fract_y
_atom_site_fract_z
Rb1 Rb 0.0000 0.0000 0.0000
Er1 Er 0.0000 0.0000 0.5000
Sb1 Sb 0.5000 0.5000 0.3153
```

Computed properties:
**VASP energy**: -0.148 Ha/atom
**ΔE_f (raw)**: -0.59 eV/atom
**Relative energy among the computed polymorphs**: 0 meV per atom

---

(10)
First-principles (PBE) data for a geometry-optimized RbErSb2 structure, as listed in the Alexandria database.

```
data_RbErSb2
_chemical_formula_sum 'Rb3 Er3 Sb6'
_cell_length_a 4.7313
_cell_length_b 4.7313
_cell_length_c 23.9649
_cell_angle_alpha 90.00
_cell_angle_beta 90.00
_cell_angle_gamma 120.00
_space_group_name_H-M_alt 'R -3 m'
_space_group_IT_number 166
_space_group_name_Hall '-R 3 2"'
loop_
_atom_site_label
_atom_site_type_symbol
_atom_site_fract_x
_atom_site_fract_y
_atom_site_fract_z
Rb1 Rb 0.0000 0.0000 0.0000
Er1 Er 0.0000 0.0000 0.5000
Sb1 Sb 0.0000 0.0000 0.2247
```

Computed properties:
**VASP energy**: -0.144 Ha/atom
**ΔE_f (raw)**: -0.47 eV/atom
**Relative energy among the computed polymorphs**: 124 meV per atom

---

(11)
First-principles (PBE) data for a geometry-optimized RbErSb structure, as listed in the Alexandria database.

```
data_RbErSb
_chemical_formula_sum 'Rb4 Er4 Sb4'
_cell_length_a 8.4302
_cell_length_b 4.9183
_cell_length_c 14.2983
_cell_angle_alpha 90.00
_cell_angle_beta 98.91
_cell_angle_gamma 90.00
_space_group_name_H-M_alt 'C 1 2/m 1'
_space_group_IT_number 12
loop_
_space_group_symop_operation_xyz
'x,y,z'
'-x,-y,-z'
'-x,y,-z'
'x,-y,z'
'x+1/2,y+1/2,z'
'-x+1/2,-y+1/2,-z'
'-x+1/2,y+1/2,-z'
'x+1/2,-y+1/2,z'
loop_
_atom_site_label
_atom_site_type_symbol
_atom_site_fract_x
_atom_site_fract_y
_atom_site_fract_z
Rb1 Rb 0.2416 0.0000 0.1517
Er1 Er 0.1881 0.5000 0.5773
Sb1 Sb 0.1277 0.5000 0.3495
```

Computed properties:
**VASP energy**: -0.136 Ha/atom
**ΔE_f (raw)**: -0.48 eV/atom

---

(12)
First-principles (PBE) data for a geometry-optimized Rb2ErSbSe4 structure, as listed in the Alexandria database.

```
data_Rb2ErSbSe4
_chemical_formula_sum 'Rb8 Er4 Sb4 Se16'
_cell_length_a 8.7744
_cell_length_b 8.9746
_cell_length_c 12.5501
_cell_angle_alpha 90.00
_cell_angle_beta 90.00
_cell_angle_gamma 90.00
_space_group_name_H-M_alt 'I m m a'
_space_group_IT_number 74
_space_group_name_Hall '-I 2b 2'
loop_
_atom_site_label
_atom_site_type_symbol
_atom_site_fract_x
_atom_site_fract_y
_atom_site_fract_z
Rb1 Rb 0.0000 0.0000 0.0000
Rb2 Rb 0.2500 0.2500 0.2500
Er1 Er 0.2500 0.2500 0.7500
Sb1 Sb 0.0000 0.0000 0.5000
Se1 Se 0.0000 0.0372 0.7342
Se2 Se 0.2195 0.2500 0.5196
```

Computed properties:
**VASP energy**: -0.155 Ha/atom
**ΔE_f (raw)**: -1.16 eV/atom

---

> The highest ΔE_f (raw) belongs to which entry?

number 10